Compound: Ca2CrWO6
Source: the Alexandria database
Functional: PBE+U
Structure: relaxed

## Properties
- Polymorph energy (0 for the lowest one): 0.020 eV per atom
- Density of states at the Fermi level: 0.000 states/eV/atom
- Symmetry: No. 2

a = 5.562 Å, b = 5.532 Å, c = 5.533 Å
α = 89.76°, β = 119.65°, γ = 120.51°
Fractional positions:
O 0.483 0.193 0.182
Cr 0.985 0.503 0.484
W 0.985 0.003 0.984
O 0.086 0.352 0.235
Ca 0.502 0.770 0.232
Ca 0.468 0.236 0.736
O 0.990 0.812 0.287
O 0.980 0.194 0.681
O 0.486 0.813 0.786
O 0.884 0.654 0.733